# La2WN3, optimized geometry, DFT PBE-GGA
data_La2WN3
_chemical_formula_sum 'La4 W2 N6'
_space_group_name_H-M_alt 'I m m m'
_space_group_IT_number 71
_space_group_name_Hall '-I 2 2'
_cell_length_a 3.626
_cell_length_b 4.042
_cell_length_c 13.071
_cell_angle_alpha 90.00
_cell_angle_beta 90.00
_cell_angle_gamma 90.00
loop_
_atom_site_label
_atom_site_type_symbol
_atom_site_fract_x
_atom_site_fract_y
_atom_site_fract_z
La1 La 0.000 0.000 0.147
W1 W 0.000 0.000 0.500
N1 N 0.000 0.000 0.345
N2 N 0.000 0.500 0.500
# Uncorrected formation energy   -6.8 eV per formula unit
# E   -9.096 eV per atom
# M_tot   0.000 μB/f.u.